# YTc2WF (PBE+U, relaxed)
# * SG: P4/mmm, No. 123
# * total moment: 2.07 Bohr magnetons per cell
# * total DFT energy (no corrections): -30.3 eV/cell
data_YTc2WF
_chemical_formula_sum 'Y1 Tc2 W1 F1'
_symmetry_space_group_name_H-M 'P 1'
_symmetry_Int_Tables_number 1
_cell_length_a 4.7089
_cell_length_b 5.9178
_cell_length_c 4.7089
_cell_angle_alpha 90.00
_cell_angle_beta 90.00
_cell_angle_gamma 90.00
loop_
_symmetry_equiv_pos_as_xyz
'x,y,z'
loop_
_atom_site_label
_atom_site_type_symbol
_atom_site_fract_x
_atom_site_fract_y
_atom_site_fract_z
Y1 Y 0.0000 0.5000 0.0000
Tc1 Tc 0.0000 0.0000 0.5000
Tc2 Tc 0.5000 0.0000 0.0000
W1 W 0.0000 0.0000 0.0000
F1 F 0.5000 0.5000 0.5000